Entry P
VASP calculation (PBE) on a relaxed structure of RbPrPb2.

The space group is R-3m (No. 166, hexagonal axes) and the conventional cell measures 3.8326, 3.8326 and 34.3651 Å, with angles of 90.00, 90.00 and 120.00 degrees. Symmetry generates all atoms from Rb at (0.0000, 0.0000, 0.0000), Pr at (0.0000, 0.0000, 0.5000) and Pb at (0.0000, 0.0000, 0.2437).

The value obtained for the size of the total moment is 0.000 μB per atom.

---

Entry Q
VASP calculation (PBE) on a relaxed structure of RbPrPb2.

The space group is P4/mmm (No. 123) and the conventional cell measures 4.3013, 4.3013 and 8.2844 Å, with angles of 90.00, 90.00 and 90.00 degrees. Symmetry generates all atoms from Rb at (0.0000, 0.0000, 0.0000), Pr at (0.0000, 0.0000, 0.5000) and Pb at (0.5000, 0.5000, 0.3121).

The value obtained for the size of the total moment is 0.000 μB per atom.

---

Which of them is the least stable? Correct choice: entry P.

---

Entry P
VASP calculation (PBE) on a relaxed structure of Pr3RhPb.

The space group is Pnma (No. 62) and the conventional cell measures 8.5086, 4.6703 and 15.3160 Å, with angles of 90.00, 90.00 and 90.00 degrees. Symmetry generates all atoms from Pr at (0.0202, 0.2500, 0.1093), Pr at (0.1510, 0.2500, 0.5088), Pr at (0.1844, 0.7500, 0.2863), Rh at (0.1688, 0.2500, 0.9434) and Pb at (0.0943, 0.7500, 0.6745).

The value obtained for the size of the total moment is 0.000 μB per atom.

---

Entry Q
VASP calculation (PBE) on a relaxed structure of Pr3RhPb.

The space group is Pm-3m (No. 221) and the conventional cell measures 5.5099, 5.5099 and 5.5099 Å, with angles of 90.00, 90.00 and 90.00 degrees. Symmetry generates all atoms from Pr at (0.0000, 0.0000, 0.5000), Rh at (0.0000, 0.0000, 0.0000) and Pb at (0.5000, 0.5000, 0.5000).

The value obtained for the size of the total moment is 0.000 μB per atom.

---

Which of them is the least stable? Correct choice: entry Q.

---

Entry P
VASP calculation (PBE) on a relaxed structure of Pr2RhPb.

The space group is R-3m (No. 166, hexagonal axes) and the conventional cell measures 3.9937, 3.9937 and 26.1837 Å, with angles of 90.00, 90.00 and 120.00 degrees. Symmetry generates all atoms from Pr at (0.0000, 0.0000, 0.2321), Rh at (0.0000, 0.0000, 0.5000) and Pb at (0.0000, 0.0000, 0.0000).

The value obtained for the size of the total moment is 0.000 μB per atom.

---

Entry Q
VASP calculation (PBE) on a relaxed structure of Pr2RhPb.

The space group is Fm-3m (No. 225) and the conventional cell measures 7.5770, 7.5770 and 7.5770 Å, with angles of 90.00, 90.00 and 90.00 degrees. Symmetry generates all atoms from Pr at (0.2500, 0.2500, 0.2500), Rh at (0.0000, 0.0000, 0.0000) and Pb at (0.0000, 0.0000, 0.5000).

The value obtained for the size of the total moment is 0.000 μB per atom.

---

Entry R
VASP calculation (PBE) on a relaxed structure of Pr2RhPb.

The space group is P4/mmm (No. 123) and the conventional cell measures 3.6085, 3.6085 and 8.3071 Å, with angles of 90.00, 90.00 and 90.00 degrees. Symmetry generates all atoms from Pr at (0.0000, 0.0000, 0.2080), Rh at (0.5000, 0.5000, 0.0000) and Pb at (0.5000, 0.5000, 0.5000).

The value obtained for the size of the total moment is 0.000 μB per atom.

---

Which of them is the least stable? Correct choice: entry Q.

---

Entry P
VASP calculation (PBE) on a relaxed structure of Pr4RhPb2.

The space group is P2_1/m (No. 11) and the conventional cell measures 6.8927, 6.9328 and 9.5824 Å, with angles of 90.00, 103.89 and 90.00 degrees. Symmetry generates all atoms from Pr at (0.1844, 0.2500, 0.1054), Pr at (0.2552, 0.7500, 0.3825), Pr at (0.3035, 0.0048, 0.7526), Rh at (0.4630, 0.2500, 0.3702), Pb at (0.1006, 0.2500, 0.4401) and Pb at (0.3057, 0.7500, 0.0488).

The value obtained for the size of the total moment is 0.000 μB per atom.

---

Entry Q
VASP calculation (PBE) on a relaxed structure of Pr4RhPb2.

The space group is I4/mmm (No. 139) and the conventional cell measures 5.2702, 5.2702 and 17.3231 Å, with angles of 90.00, 90.00 and 90.00 degrees. Symmetry generates all atoms from Pr at (0.0000, 0.0000, 0.1772), Pr at (0.0000, 0.5000, 0.0000), Rh at (0.0000, 0.0000, 0.0000) and Pb at (0.0000, 0.0000, 0.3627).

The value obtained for the size of the total moment is 0.000 μB per atom.

---

Which of them is the least stable? Correct choice: entry Q.

---

Entry P
VASP calculation (PBE) on a relaxed structure of Pr4SbPb2.

The space group is P2_1/m (No. 11) and the conventional cell measures 6.0752, 6.7141 and 11.1850 Å, with angles of 90.00, 101.14 and 90.00 degrees. Symmetry generates all atoms from Pr at (0.1109, 0.2500, 0.1191), Pr at (0.2196, 0.7500, 0.4467), Pr at (0.3474, 0.0126, 0.7351), Sb at (0.0879, 0.7500, 0.1694), Pb at (0.2360, 0.2500, 0.4356) and Pb at (0.4393, 0.7500, 0.9983).

The value obtained for the size of the total moment is 0.000 μB per atom.

---

Entry Q
VASP calculation (PBE) on a relaxed structure of Pr4SbPb2.

The space group is I-42d (No. 122) and the conventional cell measures 9.7278, 9.7278 and 9.6916 Å, with angles of 90.00, 90.00 and 90.00 degrees. Symmetry generates all atoms from Pr at (0.0701, 0.6821, 0.4469), Sb at (0.0000, 0.0000, 0.5000) and Pb at (0.1246, 0.7500, 0.1250).

The value obtained for the size of the total moment is 0.000 μB per atom.

---

Which of them is the least stable? Correct choice: entry P.

---

Entry P
VASP calculation (PBE) on a relaxed structure of Pr2ScPb.

The space group is P4/mmm (No. 123) and the conventional cell measures 4.2981, 4.2981 and 6.5753 Å, with angles of 90.00, 90.00 and 90.00 degrees. Symmetry generates all atoms from Pr at (0.0000, 0.0000, 0.2411), Sc at (0.5000, 0.5000, 0.5000) and Pb at (0.5000, 0.5000, 0.0000).

The value obtained for the size of the total moment is 0.000 μB per atom.

---

Entry Q
VASP calculation (PBE) on a relaxed structure of Pr2ScPb.

The space group is P4/mmm (No. 123) and the conventional cell measures 4.8817, 4.8817 and 4.9148 Å, with angles of 90.00, 90.00 and 90.00 degrees. Symmetry generates all atoms from Pr at (0.0000, 0.5000, 0.0000), Sc at (0.0000, 0.0000, 0.5000) and Pb at (0.5000, 0.5000, 0.5000).

The value obtained for the size of the total moment is 0.000 μB per atom.

---

Entry R
VASP calculation (PBE) on a relaxed structure of Pr2ScPb.

The space group is R-3m (No. 166, hexagonal axes) and the conventional cell measures 3.5523, 3.5523 and 36.2032 Å, with angles of 90.00, 90.00 and 120.00 degrees. Symmetry generates all atoms from Pr at (0.0000, 0.0000, 0.0911), Sc at (0.0000, 0.0000, 0.5000) and Pb at (0.0000, 0.0000, 0.0000).

The value obtained for the size of the total moment is 0.000 μB per atom.

---

Which of them is the least stable? Correct choice: entry R.

---

Entry P
VASP calculation (PBE) on a relaxed structure of Pr2PbSe.

The space group is I4_1/amd (No. 141, origin choice 2) and the conventional cell measures 6.3068, 6.3068 and 12.5768 Å, with angles of 90.00, 90.00 and 90.00 degrees. Symmetry generates all atoms from Pr at (0.0000, 0.2500, 0.1184), Pb at (0.0000, 0.2500, 0.3750) and Se at (0.0000, 0.2500, 0.8750).

The value obtained for the size of the total moment is 0.000 μB per atom.

---

Entry Q
VASP calculation (PBE) on a relaxed structure of Pr2PbSe.

The space group is R-3m (No. 166, hexagonal axes) and the conventional cell measures 4.4234, 4.4234 and 22.0611 Å, with angles of 90.00, 90.00 and 120.00 degrees. Symmetry generates all atoms from Pr at (0.0000, 0.0000, 0.2455), Pb at (0.0000, 0.0000, 0.0000) and Se at (0.0000, 0.0000, 0.5000).

The value obtained for the size of the total moment is 0.000 μB per atom.

---

Which of them is the least stable? Correct choice: entry Q.

---

Entry P
VASP calculation (PBE) on a relaxed structure of Pr3PbSe.

The space group is P2_1/c (No. 14) and the conventional cell measures 9.6202, 6.9880 and 10.8802 Å, with angles of 90.00, 114.09 and 90.00 degrees. Symmetry generates all atoms from Pr at (0.0545, 0.0862, 0.3359), Pr at (0.2047, 0.5832, 0.5317), Pr at (0.4036, 0.1898, 0.8205), Pb at (0.3587, 0.7073, 0.8472) and Se at (0.0946, 0.2352, 0.6018).

The value obtained for the size of the total moment is 0.000 μB per atom.

---

Entry Q
VASP calculation (PBE) on a relaxed structure of Pr3PbSe.

The space group is Pnma (No. 62) and the conventional cell measures 8.9922, 4.3793 and 16.0680 Å, with angles of 90.00, 90.00 and 90.00 degrees. Symmetry generates all atoms from Pr at (0.0222, 0.2500, 0.1089), Pr at (0.1548, 0.2500, 0.5336), Pr at (0.1748, 0.7500, 0.2846), Pb at (0.1026, 0.7500, 0.6886) and Se at (0.1830, 0.2500, 0.9470).

The value obtained for the size of the total moment is 0.000 μB per atom.

---

Which of them is the least stable? Correct choice: entry P.

---

Entry P
VASP calculation (PBE) on a relaxed structure of Pr2SiPb.

The space group is R-3m (No. 166, hexagonal axes) and the conventional cell measures 4.2560, 4.2560 and 24.1453 Å, with angles of 90.00, 90.00 and 120.00 degrees. Symmetry generates all atoms from Pr at (0.0000, 0.0000, 0.2367), Si at (0.0000, 0.0000, 0.5000) and Pb at (0.0000, 0.0000, 0.0000).

The value obtained for the size of the total moment is 0.000 μB per atom.

---

Entry Q
VASP calculation (PBE) on a relaxed structure of Pr2SiPb.

The space group is P4/mmm (No. 123) and the conventional cell measures 3.9832, 3.9832 and 6.9806 Å, with angles of 90.00, 90.00 and 90.00 degrees. Symmetry generates all atoms from Pr at (0.0000, 0.0000, 0.2218), Si at (0.5000, 0.5000, 0.0000) and Pb at (0.5000, 0.5000, 0.5000).

The value obtained for the size of the total moment is 0.000 μB per atom.

---

Which of them is the least stable? Correct choice: entry Q.

---

Entry P
VASP calculation (PBE) on a relaxed structure of Pr2SmPb3.

The space group is C2/c (No. 15) and the conventional cell measures 9.7021, 14.7970 and 5.9416 Å, with angles of 90.00, 116.22 and 90.00 degrees. Symmetry generates all atoms from Pr at (0.0000, 0.0828, 0.2500), Pr at (0.0000, 0.2486, 0.7500), Sm at (0.0000, 0.4158, 0.2500), Pb at (0.2460, 0.4181, 0.0032) and Pb at (0.2500, 0.2500, 0.5000).

The value obtained for the size of the total moment is 0.000 μB per atom.

---

Entry Q
VASP calculation (PBE) on a relaxed structure of Pr2SmPb3.

The space group is Cmmm (No. 65) and the conventional cell measures 5.0719, 15.4840 and 9.2513 Å, with angles of 90.00, 90.00 and 90.00 degrees. Symmetry generates all atoms from Pr at (0.0000, 0.0000, 0.0000), Pr at (0.0000, 0.0000, 0.5000), Pr at (0.0000, 0.3334, 0.0000), Sm at (0.0000, 0.3326, 0.5000), Pb at (0.0000, 0.1676, 0.2530) and Pb at (0.0000, 0.5000, 0.2526).

The value obtained for the size of the total moment is 0.001 μB per atom.

---

Which of them is the least stable? Correct choice: entry P.